1.
Sr3Li: PBEsol geometry, SCAN.

The relative energy among the computed polymorphs is 50 meV/atom. The calculated volume is 45.33 Å³ per atom. For the energy relative to the elements, the calculation gives 0.316 eV/f.u. Its density of states at the Fermi level is 0.896 states/eV per atom.

The structure belongs to space group P4/mmm (No. 123); the cell edges are 6.223, 6.223 and 4.681 Å and the angles 90.00°, 90.00° and 90.00°. The distinct sites, in fractional coordinates, are Sr at (0.000, 0.000, 0.000), Sr at (0.000, 0.500, 0.500) and Li at (0.500, 0.500, 0.000).



2.
ScFeSe3: PBEsol geometry, SCAN.

The calculated volume is 20.31 Å³ per atom. Its density of states at the Fermi level is 0.840 states/eV per atom. The calculation puts the formation energy without anion corrections at -0.289 eV per atom.

The structure belongs to space group Pm-3m (No. 221); the cell edges are 4.665, 4.665 and 4.665 Å and the angles 90.00°, 90.00° and 90.00°. The distinct sites, in fractional coordinates, are Sc at (0.000, 0.000, 0.000), Fe at (0.500, 0.500, 0.500) and Se at (0.000, 0.500, 0.500).



3.
ReHgCl: PBEsol geometry, SCAN.

The calculated volume is 18.50 Å³ per atom. Its density of states at the Fermi level is 0.431 states/eV per atom. The calculation puts the formation energy without anion corrections at 0.592 eV per atom.

The structure belongs to space group P3m1 (No. 156); the cell edges are 2.9146, 2.9146 and 7.5438 Å and the angles 90.00°, 90.00° and 120.00°. The distinct sites, in fractional coordinates, are Re at (0.0000, 0.0000, 0.0000), Hg at (0.3333, 0.6667, 0.3195) and Cl at (0.6667, 0.3333, 0.7665).



4.
YBiTe2N: PBEsol geometry, SCAN.

The calculated volume is 28.33 Å³ per atom. Its density of states at the Fermi level is 0.632 states/eV per atom. The calculation puts the formation energy without anion corrections at 0.103 eV per atom.

The structure belongs to space group P4/mmm (No. 123); the cell edges are 5.889, 5.889 and 4.085 Å and the angles 90.00°, 90.00° and 90.00°. The distinct sites, in fractional coordinates, are Y at (0.000, 0.000, 0.000), Bi at (0.500, 0.500, 0.500), Te at (0.000, 0.500, 0.000) and N at (0.000, 0.000, 0.500).



5.
Sm2Ga9Rh3: PBEsol geometry, SCAN.

The calculated volume is 16.38 Å³ per atom. For the energy relative to the elements, the calculation gives -11.577 eV/f.u. Its density of states at the Fermi level is 0.266 states/eV per atom.

The structure belongs to space group Cmcm (No. 63); the cell edges are 12.919, 7.519 and 9.442 Å and the angles 90.00°, 90.00° and 90.00°. The distinct sites, in fractional coordinates, are Sm at (0.164, 0.166, 0.250), Ga at (0.000, 0.129, 0.750), Ga at (0.000, 0.334, 0.062), Ga at (0.104, 0.443, 0.750), Ga at (0.166, 0.169, 0.578), Rh at (0.000, 0.000, 0.000) and Rh at (0.171, 0.500, 0.000).



6.
LiZn2Tc: PBEsol geometry, SCAN.

The relative energy among the computed polymorphs is 9 meV/atom. The calculated volume is 13.49 Å³ per atom. For the energy relative to the elements, the calculation gives -0.526 eV/f.u. Its density of states at the Fermi level is 0.205 states/eV per atom.

The structure belongs to space group P4/mmm (No. 123); the cell edges are 4.459, 4.459 and 2.714 Å and the angles 90.00°, 90.00° and 90.00°. The distinct sites, in fractional coordinates, are Li at (0.000, 0.000, 0.000), Zn at (0.000, 0.500, 0.500) and Tc at (0.500, 0.500, 0.000).



7.
La2ZrAs: PBEsol geometry, SCAN.

The calculated volume is 24.33 Å³ per atom. For the energy relative to the elements, the calculation gives -1.536 eV/f.u. Its density of states at the Fermi level is 0.725 states/eV per atom.

The structure belongs to space group I-4m2 (No. 119); the cell edges are 4.516, 4.516 and 9.545 Å and the angles 90.00°, 90.00° and 90.00°. The distinct sites, in fractional coordinates, are La at (0.000, 0.000, 0.000), La at (0.000, 0.500, 0.250), Zr at (0.000, 0.000, 0.500) and As at (0.000, 0.500, 0.750).



8.
CaCuAg2: PBEsol geometry, SCAN.

The relative energy among the computed polymorphs is 38 meV/atom. The calculated volume is 19.15 Å³ per atom. For the energy relative to the elements, the calculation gives -0.028 eV/f.u. Its density of states at the Fermi level is 0.363 states/eV per atom.

The structure belongs to space group Pm (No. 6); the cell edges are 3.446, 4.238 and 5.513 Å and the angles 90.00°, 108.00° and 90.00°. The distinct sites, in fractional coordinates, are Ca at (0.000, 0.000, 0.000), Cu at (0.599, 0.500, 0.201), Ag at (0.322, 0.500, 0.646) and Ag at (0.734, 0.000, 0.469).



9.
BaCaSc2: PBEsol geometry, SCAN.

The relative energy among the computed polymorphs is 74 meV/atom. The calculated volume is 32.90 Å³ per atom. For the energy relative to the elements, the calculation gives 1.433 eV/f.u. Its density of states at the Fermi level is 1.219 states/eV per atom.

The structure belongs to space group Imm2 (No. 44); the cell edges are 3.796, 5.915 and 11.723 Å and the angles 90.00°, 90.00° and 90.00°. The distinct sites, in fractional coordinates, are Ba at (0.000, 0.000, 0.000), Ca at (0.000, 0.500, 0.784), Sc at (0.000, 0.000, 0.534) and Sc at (0.000, 0.500, 0.240).



10.
Be2Ni2Pd: PBEsol geometry, SCAN.

The calculated volume is 9.95 Å³ per atom. For the energy relative to the elements, the calculation gives -1.904 eV/f.u. Its density of states at the Fermi level is 0.467 states/eV per atom.

The structure belongs to space group P4/mbm (No. 127); the cell edges are 6.163, 6.163 and 2.619 Å and the angles 90.00°, 90.00° and 90.00°. The distinct sites, in fractional coordinates, are Be at (0.136, 0.364, 0.000), Ni at (0.155, 0.655, 0.500) and Pd at (0.000, 0.000, 0.000).



11.
InNiAs2: PBEsol geometry, SCAN.

The calculated volume is 17.40 Å³ per atom. For the energy relative to the elements, the calculation gives 1.766 eV/f.u. Its density of states at the Fermi level is 0.537 states/eV per atom.

The structure belongs to space group F-43m (No. 216); the cell edges are 6.530, 6.530 and 6.530 Å and the angles 90.00°, 90.00° and 90.00°. The distinct sites, in fractional coordinates, are In at (0.000, 0.000, 0.000), Ni at (0.250, 0.250, 0.250), As at (0.000, 0.000, 0.500) and As at (0.250, 0.250, 0.750).



12.
In2WBr: PBEsol geometry, SCAN.

The relative energy among the computed polymorphs is 121 meV/atom. The calculated volume is 20.44 Å³ per atom. Its density of states at the Fermi level is 0.551 states/eV per atom. The calculation puts the formation energy without anion corrections at 0.603 eV per atom.

The structure belongs to space group Amm2 (No. 38); the cell edges are 4.802, 3.129 and 10.884 Å and the angles 90.00°, 90.00° and 90.00°. The distinct sites, in fractional coordinates, are In at (0.000, 0.000, 0.000), In at (0.500, 0.000, 0.316), W at (0.000, 0.000, 0.740) and Br at (0.500, 0.000, 0.585).



- Among the records above, which one has the highest calculated volume?
  Sr3Li